1.
This record from Alexandria via LeMat-Bulk describes an optimized crystal structure of Be2HS2. The functional is PBEsol.

## Properties
DOS(E_F)   2.7 states/eV/cell
Magnetic moment   0.00 μB per atom
Uncorrected energy   -3.76 eV per atom

Cell lengths 3.0746, 6.0986, 6.0986 Å; angles 90.00, 90.00, 90.00 degrees
Positions (direct):
S1 0.0000 0.3108 0.8108
S2 0.0000 0.8108 0.6892
S3 0.0000 0.6892 0.1892
S4 0.0000 0.1892 0.3108
H1 0.0000 0.5000 0.5000
H2 0.0000 0.0000 0.0000
Be1 0.5000 0.1392 0.6392
Be2 0.5000 0.3608 0.1392
Be3 0.5000 0.6392 0.8608
Be4 0.5000 0.8608 0.3608

=====

2.
This record from Alexandria via LeMat-Bulk describes an optimized crystal structure of TaCoTcPt2. The functional is PBEsol.

## Properties
DOS(E_F)   7.2 states/eV/cell
E_form   1729 meV per atom
Magnetic moment   0.59 μB per atom
Uncorrected energy   -7.37 eV per atom

Cell lengths 4.5633, 4.7953, 4.7953 Å; angles 90.00, 90.00, 90.00 degrees
Positions (direct):
Co1 0.5000 0.5000 0.5000
Pt1 0.0000 0.0000 0.5000
Pt2 0.0000 0.5000 0.0000
Ta1 0.0000 0.0000 0.0000
Tc1 0.5000 0.0000 0.0000

=====

3.
This record from Alexandria via LeMat-Bulk describes an optimized crystal structure of LiHfSe2. The functional is PBEsol.

## Properties
Formation energy without anion corrections   -1.34 eV/atom
DOS(E_F)   1.5 states/eV/cell
Magnetic moment   0.00 μB per atom
Uncorrected energy   -6.38 eV per atom

Cell lengths 3.6535, 3.6535, 6.5871 Å; angles 90.00, 90.00, 120.00 degrees
Positions (direct):
Se1 0.3333 0.6667 0.2508
Se2 0.6667 0.3333 0.7492
Hf1 0.0000 0.0000 0.0000
Li1 0.0000 0.0000 0.5000

=====

4.
This record from Alexandria via LeMat-Bulk describes an optimized crystal structure of CaBi2Pd. The functional is PBEsol.

## Properties
DOS(E_F)   3.3 states/eV/cell
E_form   -298 meV per atom
Magnetic moment   0.00 μB per atom
Uncorrected energy   -4.46 eV per atom

Cell lengths 4.6742, 4.6742, 10.5717 Å; angles 102.77, 102.77, 90.00 degrees
Positions (direct):
Ca1 0.7500 0.2500 0.5000
Ca2 0.5000 0.5000 0.0000
Pd1 0.2500 0.7500 0.5000
Pd2 0.0000 0.0000 0.0000
Bi1 0.9146 0.3750 0.2500
Bi2 0.3354 0.8750 0.2500
Bi3 0.6250 0.6646 0.7500
Bi4 0.1250 0.0854 0.7500

=====

5.
This record from Alexandria via LeMat-Bulk describes an optimized crystal structure of Cs2PtCl6. The functional is PBEsol.

## Properties
Formation energy without anion corrections   -1.28 eV/atom
DOS(E_F)   0.0 states/eV/cell
Magnetic moment   0.00 μB per atom
Uncorrected energy   -3.60 eV per atom

Cell lengths 7.1920, 7.1920, 7.1920 Å; angles 60.00, 60.00, 60.00 degrees
Positions (direct):
Cl1 0.2283 0.7717 0.2283
Cl2 0.7717 0.7717 0.2283
Cl3 0.7717 0.2283 0.7717
Cl4 0.2283 0.7717 0.7717
Cl5 0.7717 0.2283 0.2283
Cl6 0.2283 0.2283 0.7717
Cs1 0.7500 0.7500 0.7500
Cs2 0.2500 0.2500 0.2500
Pt1 0.0000 0.0000 0.0000

=====

6.
This record from Alexandria via LeMat-Bulk describes an optimized crystal structure of BiPPbO5. The functional is PBEsol.

## Properties
Formation energy without anion corrections   -1.79 eV/atom
DOS(E_F)   0.0 states/eV/cell
Magnetic moment   0.00 μB per atom
Uncorrected energy   -6.83 eV per atom

Cell lengths 5.8098, 6.9264, 6.9914 Å; angles 107.16, 108.78, 101.60 degrees
Positions (direct):
P1 0.1830 0.6551 0.8591
P2 0.8170 0.3449 0.1409
O1 0.0674 0.4141 0.7020
O2 0.6256 0.2187 0.2098
O3 0.3744 0.7813 0.7902
O4 0.2586 0.9986 0.4691
O5 0.9635 0.7511 0.8494
O6 0.9326 0.5859 0.2980
O7 0.0365 0.2489 0.1506
O8 0.6569 0.3261 0.9070
O9 0.3431 0.6739 0.0930
O10 0.7414 0.0014 0.5309
Pb1 0.1670 0.1125 0.8226
Pb2 0.8330 0.8875 0.1774
Bi1 0.3867 0.7273 0.4460
Bi2 0.6133 0.2727 0.5540

=====

7.
This record from Alexandria via LeMat-Bulk describes an optimized crystal structure of CaRe. The functional is PBEsol.

## Properties
DOS(E_F)   3.5 states/eV/cell
Distance to the lowest polymorph of the same formula   261 meV/atom
E_form   765 meV per atom
Magnetic moment   0.00 μB per atom
Uncorrected energy   -6.97 eV per atom

Cell lengths 3.0426, 3.0426, 10.2842 Å; angles 90.00, 90.00, 120.00 degrees
Positions (direct):
Re1 0.6667 0.3333 0.4086
Re2 0.3333 0.6667 0.5914
Ca1 0.6667 0.3333 0.8358
Ca2 0.3333 0.6667 0.1642

=====

8.
This record from Alexandria via LeMat-Bulk describes an optimized crystal structure of ZrNb3Bi. The functional is PBEsol.

## Properties
DOS(E_F)   6.1 states/eV/cell
E_form   1717 meV per atom
Magnetic moment   0.00 μB per atom
Uncorrected energy   -7.45 eV per atom

Cell lengths 5.0632, 5.0632, 5.0632 Å; angles 90.00, 90.00, 90.00 degrees
Positions (direct):
Zr1 0.5000 0.5000 0.5000
Bi1 0.0000 0.0000 0.0000
Nb1 0.5000 0.0000 0.0000
Nb2 0.0000 0.0000 0.5000
Nb3 0.0000 0.5000 0.0000

=====

9.
This record from Alexandria via LeMat-Bulk describes an optimized crystal structure of BaCuCl2. The functional is PBEsol.

## Properties
Formation energy without anion corrections   -1.01 eV/atom
DOS(E_F)   2.4 states/eV/cell
Magnetic moment   0.00 μB per atom
Uncorrected energy   -3.63 eV per atom

Cell lengths 4.1505, 4.1501, 5.9298 Å; angles 90.00, 90.00, 90.00 degrees
Positions (direct):
Cl1 0.0000 0.0000 0.9940
Cl2 0.5000 0.5000 0.3118
Ba1 0.5000 0.5000 0.7970
Cu1 0.0000 0.0000 0.3972

=====

10.
This record from Alexandria via LeMat-Bulk describes an optimized crystal structure of SrInGe3. The functional is PBEsol.

## Properties
DOS(E_F)   6.3 states/eV/cell
E_form   1092 meV per atom
Magnetic moment   0.00 μB per atom
Uncorrected energy   -2.84 eV per atom

Cell lengths 5.5241, 5.5241, 5.5241 Å; angles 90.00, 90.00, 90.00 degrees
Positions (direct):
Ge1 0.0000 0.5000 0.0000
Ge2 0.5000 0.0000 0.0000
Ge3 0.0000 0.0000 0.5000
Sr1 0.0000 0.0000 0.0000
In1 0.5000 0.5000 0.5000

=====

11.
This record from Alexandria via LeMat-Bulk describes an optimized crystal structure of LiTaOs2. The functional is PBEsol.

## Properties
DOS(E_F)   4.6 states/eV/cell
E_form   228 meV per atom
Magnetic moment   0.00 μB per atom
Uncorrected energy   -9.51 eV per atom

Cell lengths 2.7787, 2.7787, 9.0484 Å; angles 81.17, 81.17, 60.00 degrees
Positions (direct):
Os1 0.7505 0.7505 0.7485
Os2 0.2495 0.2495 0.2515
Li1 0.0000 0.0000 0.0000
Ta1 0.5000 0.5000 0.5000

=====

12.
This record from Alexandria via LeMat-Bulk describes an optimized crystal structure of TcNiIr4. The functional is PBEsol.

## Properties
DOS(E_F)   8.4 states/eV/cell
E_form   642 meV per atom
Magnetic moment   0.00 μB per atom
Uncorrected energy   -8.81 eV per atom

Cell lengths 5.0246, 5.0246, 5.0246 Å; angles 60.00, 60.00, 60.00 degrees
Positions (direct):
Ir1 0.3752 0.3752 0.3752
Ir2 0.8743 0.3752 0.3752
Ir3 0.3752 0.3752 0.8743
Ir4 0.3752 0.8743 0.3752
Tc1 0.0000 0.0000 0.0000
Ni1 0.7500 0.7500 0.7500